# AcY2TcO8 (GGA-PBE, optimized geometry)
data_AcY2TcO8
_cell_length_a 7.158
_cell_length_b 7.331
_cell_length_c 7.031
_cell_angle_alpha 90.00
_cell_angle_beta 90.00
_cell_angle_gamma 90.00
_symmetry_space_group_name_H-M 'C m m m'
_symmetry_Int_Tables_number 65
_symmetry_space_group_name_Hall '-C 2 2'
loop_
_atom_site_label
_atom_site_type_symbol
_atom_site_fract_x
_atom_site_fract_y
_atom_site_fract_z
Ac1 Ac 0.000 0.000 0.000
Y1 Y 0.000 0.500 0.249
Tc1 Tc 0.000 0.000 0.500
O1 O 0.000 0.260 0.500
O2 O 0.000 0.322 0.000
O3 O 0.186 0.000 0.305
# **Magnetization**: 0.00 Bohr magnetons per cell
# **Total energy**: -8.1754 eV/atom
# **E_form (uncorrected)**: -2.586 eV per atom